(1)
# CeAgGe | Alexandria via LeMat-Bulk | PBE-GGA | optimized geometry
# energy = -4.919 eV per atom
# DFT formation energy = -451.9 meV per atom
# density of states at the Fermi level = 6.22 states/eV/f.u.
data_CeAgGe
_chemical_formula_sum 'Ce1 Ag1 Ge1'
_space_group_name_H-M_alt 'P 3 m 1'
_space_group_IT_number 156
_cell_length_a 4.4974
_cell_length_b 4.4974
_cell_length_c 3.9324
_cell_angle_alpha 90.00
_cell_angle_beta 90.00
_cell_angle_gamma 120.00
loop_
_space_group_symop_operation_xyz
'x,y,z'
'-y,x-y,z'
'-x+y,-x,z'
'-y,-x,z'
'-x+y,y,z'
'x,x-y,z'
loop_
_atom_site_label
_atom_site_type_symbol
_atom_site_fract_x
_atom_site_fract_y
_atom_site_fract_z
Ce1 Ce 0.0000 0.0000 0.0000
Ag1 Ag 0.6667 0.3333 0.5122
Ge1 Ge 0.3333 0.6667 0.4506

(2)
# CeAgGe | Alexandria via LeMat-Bulk | PBE-GGA | optimized geometry
# energy = -4.886 eV per atom
# DFT formation energy = -418.3 meV per atom
# density of states at the Fermi level = 6.19 states/eV/f.u.
data_CeAgGe
_chemical_formula_sum 'Ce2 Ag2 Ge2'
_space_group_name_H-M_alt 'P 1 21/m 1'
_space_group_IT_number 11
_cell_length_a 4.1955
_cell_length_b 3.9075
_cell_length_c 8.6535
_cell_angle_alpha 90.00
_cell_angle_beta 103.94
_cell_angle_gamma 90.00
loop_
_space_group_symop_operation_xyz
'x,y,z'
'-x,-y,-z'
'-x,y+1/2,-z'
'x,-y+1/2,z'
loop_
_atom_site_label
_atom_site_type_symbol
_atom_site_fract_x
_atom_site_fract_y
_atom_site_fract_z
Ce1 Ce 0.0999 0.2500 0.2009
Ag1 Ag 0.2843 0.2500 0.5683
Ge1 Ge 0.4519 0.2500 0.9031

(3)
# CeInAgGe | Alexandria via LeMat-Bulk | PBE-GGA | optimized geometry
# energy = -4.303 eV per atom
# DFT formation energy = -267.5 meV per atom
# density of states at the Fermi level = 6.23 states/eV/f.u.
data_CeInAgGe
_chemical_formula_sum 'Ce4 In4 Ag4 Ge4'
_space_group_name_H-M_alt 'F -4 3 m'
_space_group_IT_number 216
_space_group_name_Hall 'F -4 2 3'
_cell_length_a 7.1319
_cell_length_b 7.1319
_cell_length_c 7.1319
_cell_angle_alpha 90.00
_cell_angle_beta 90.00
_cell_angle_gamma 90.00
loop_
_atom_site_label
_atom_site_type_symbol
_atom_site_fract_x
_atom_site_fract_y
_atom_site_fract_z
Ce1 Ce 0.0000 0.0000 0.0000
In1 In 0.0000 0.0000 0.5000
Ag1 Ag 0.2500 0.2500 0.7500
Ge1 Ge 0.2500 0.2500 0.2500

(4)
# Ce2AgGe3Ir4 | Alexandria via LeMat-Bulk | PBE-GGA | optimized geometry
# energy = -7.008 eV per atom
# DFT formation energy = -606.3 meV per atom
# density of states at the Fermi level = 10.67 states/eV/f.u.
data_Ce2AgGe3Ir4
_chemical_formula_sum 'Ce2 Ag1 Ge3 Ir4'
_space_group_name_H-M_alt 'P -4 m 2'
_space_group_IT_number 115
_cell_length_a 4.1397
_cell_length_b 4.1397
_cell_length_c 10.9908
_cell_angle_alpha 90.00
_cell_angle_beta 90.00
_cell_angle_gamma 90.00
loop_
_space_group_symop_operation_xyz
'x,y,z'
'y,-x,-z'
'-x,-y,z'
'-y,x,-z'
'-x,y,z'
'-y,-x,-z'
'x,-y,z'
'y,x,-z'
loop_
_atom_site_label
_atom_site_type_symbol
_atom_site_fract_x
_atom_site_fract_y
_atom_site_fract_z
Ce1 Ce 0.0000 0.5000 0.2491
Ag1 Ag 0.5000 0.5000 0.0000
Ge1 Ge 0.0000 0.0000 0.0000
Ge2 Ge 0.0000 0.5000 0.6240
Ir1 Ir 0.0000 0.0000 0.5000
Ir2 Ir 0.0000 0.5000 0.8438
Ir3 Ir 0.5000 0.5000 0.5000

(5)
# La2CeAg2Ge2 | Alexandria via LeMat-Bulk | PBE-GGA | optimized geometry
# energy = -4.804 eV per atom
# DFT formation energy = -414.5 meV per atom
# density of states at the Fermi level = 8.95 states/eV/f.u.
data_La2CeAg2Ge2
_chemical_formula_sum 'La6 Ce3 Ag6 Ge6'
_space_group_name_H-M_alt 'R -3 m'
_space_group_IT_number 166
_space_group_name_Hall '-R 3 2"'
_cell_length_a 4.6166
_cell_length_b 4.6166
_cell_length_c 28.7648
_cell_angle_alpha 90.00
_cell_angle_beta 90.00
_cell_angle_gamma 120.00
loop_
_atom_site_label
_atom_site_type_symbol
_atom_site_fract_x
_atom_site_fract_y
_atom_site_fract_z
La1 La 0.0000 0.0000 0.1278
Ce1 Ce 0.0000 0.0000 0.0000
Ag1 Ag 0.0000 0.0000 0.3966
Ge1 Ge 0.0000 0.0000 0.2649

(6)
# Li2CeAgGe2 | Alexandria via LeMat-Bulk | PBE-GGA | optimized geometry
# energy = -4.069 eV per atom
# DFT formation energy = -427.3 meV per atom
# density of states at the Fermi level = 5.65 states/eV/f.u.
data_Li2CeAgGe2
_chemical_formula_sum 'Li2 Ce1 Ag1 Ge2'
_space_group_name_H-M_alt 'P -3 m 1'
_space_group_IT_number 164
_space_group_name_Hall '-P 3 2"'
_cell_length_a 4.3728
_cell_length_b 4.3728
_cell_length_c 6.7650
_cell_angle_alpha 90.00
_cell_angle_beta 90.00
_cell_angle_gamma 120.00
loop_
_atom_site_label
_atom_site_type_symbol
_atom_site_fract_x
_atom_site_fract_y
_atom_site_fract_z
Li1 Li 0.3333 0.6667 0.1481
Ce1 Ce 0.0000 0.0000 0.5000
Ag1 Ag 0.0000 0.0000 0.0000
Ge1 Ge 0.3333 0.6667 0.7411